Entry 1:
Entry from the Alexandria database: crystalline Cr4AuBr at its relaxed geometry (PBE).

## Properties
formation energy without anion corrections: 0.832 eV per atom
DFT total energy: -6.409 eV/atom
SG: No. 216

Cell: 4.9594 4.9594 4.9594 Å, 60.00 60.00 60.00°
Positions (direct):
Au1 0.7500 0.7500 0.7500
Br1 0.0000 0.0000 0.0000
Cr1 0.3786 0.3786 0.8642
Cr2 0.3786 0.3786 0.3786
Cr3 0.8642 0.3786 0.3786
Cr4 0.3786 0.8642 0.3786

Entry 2:
Entry from the Alexandria database: crystalline Sc2TcIr at its relaxed geometry (PBE).

## Properties
DFT formation energy: -0.24 eV/atom
DFT total energy: -8.209 eV/atom
SG: No. 99

Cell: 2.9172 2.9172 8.6158 Å, 90.00 90.00 90.00°
Positions (direct):
Sc1 0.5000 0.5000 0.2884
Sc2 0.0000 0.0000 0.9571
Tc1 0.0000 0.0000 0.5296
Ir1 0.5000 0.5000 0.7249

Entry 3:
Entry from the Alexandria database: crystalline La2SiPd6 at its relaxed geometry (PBE).

## Properties
energy above the most stable polymorph in this dataset: 0 meV/atom
formation energy without anion corrections: -0.865 eV per atom
DFT total energy: -6.024 eV/atom
SG: No. 71

Cell: 6.2650 6.2650 5.9413 Å, 61.71 61.71 62.91°
Positions (direct):
Pd1 0.2174 0.7826 0.2412
Pd2 0.2294 0.2294 0.7707
Pd3 0.2174 0.7826 0.7588
Si1 0.5000 0.5000 0.5000
Pd4 0.7826 0.2174 0.2412
La1 0.2625 0.2625 0.2377
La2 0.7375 0.7375 0.7623
Pd5 0.7826 0.2174 0.7588
Pd6 0.7706 0.7706 0.2293

Entry 4:
Entry from the Alexandria database: crystalline RbLi2HgAu at its relaxed geometry (PBE).

## Properties
DFT formation energy: -0.19 eV/atom
DFT total energy: -1.862 eV/atom
SG: No. 123

Cell: 5.2261 5.2261 5.4369 Å, 90.00 90.00 90.00°
Positions (direct):
Li1 0.5000 0.0000 0.0000
Au1 0.0000 0.0000 0.0000
Li2 0.0000 0.5000 0.0000
Hg1 0.0000 0.0000 0.5000
Rb1 0.5000 0.5000 0.5000

Entry 5:
Entry from the Alexandria database: crystalline PmPr2Pb at its relaxed geometry (PBE).

## Properties
DFT formation energy: -0.34 eV/atom
energy above the most stable polymorph in this dataset: 0 meV/atom
DFT total energy: -4.845 eV/atom
SG: No. 123

Cell: 5.0396 4.9971 4.9971 Å, 90.00 90.00 90.00°
Positions (direct):
Pb1 0.5000 0.0000 0.0000
Pr1 0.0000 0.0000 0.5000
Pm1 0.5000 0.5000 0.5000
Pr2 0.0000 0.5000 0.0000

Entry 6:
Entry from the Alexandria database: crystalline Y2MnSe at its relaxed geometry (PBE).

## Properties
formation energy without anion corrections: 0.125 eV per atom
DFT total energy: -6.270 eV/atom
SG: No. 216

Cell: 5.0661 5.0661 5.0661 Å, 60.00 60.00 60.00°
Each line ends with the local moment (μB).
Positions (direct):
Y1 0.0000 0.0000 0.0000  -0.49
Mn1 0.5000 0.5000 0.5000  3.48
Se1 0.7500 0.7500 0.7500  0.07
Y2 0.2500 0.2500 0.2500  -0.61

Entry 7:
Entry from the Alexandria database: crystalline CsAcH6Pt2 at its relaxed geometry (PBE).

## Properties
DFT total energy: -4.139 eV/atom
SG: No. 15

Cell: 6.6728 6.6728 8.2816 Å, 105.44 105.44 90.59°
Positions (direct):
H1 0.6318 0.3197 0.9543
H2 0.3197 0.6318 0.4543
Pt1 0.1076 0.4521 0.3720
Ac1 0.4348 0.5652 0.7500
H3 0.2793 0.9102 0.7946
Cs1 0.0992 0.9008 0.2500
H4 0.3682 0.6803 0.0457
H5 0.9102 0.2793 0.2946
Pt2 0.8924 0.5479 0.6280
H6 0.7207 0.0898 0.2054
H7 0.0898 0.7207 0.7054
H8 0.1697 0.3521 0.1853
Pt3 0.4521 0.1076 0.8720
H9 0.6479 0.8303 0.3147
Cs2 0.9008 0.0992 0.7500
H10 0.8303 0.6479 0.8147
Pt4 0.5479 0.8924 0.1280
H11 0.3521 0.1697 0.6853
Ac2 0.5652 0.4348 0.2500
H12 0.6803 0.3682 0.5457

Entry 8:
Entry from the Alexandria database: crystalline BaCd4In at its relaxed geometry (PBE).

## Properties
DFT formation energy: -0.18 eV/atom
energy above the most stable polymorph in this dataset: 28 meV/atom
DFT total energy: -1.567 eV/atom
SG: No. 216

Cell: 6.2222 6.2222 6.2222 Å, 60.00 60.00 60.00°
Positions (direct):
Cd1 0.6245 0.1264 0.6245
Cd2 0.1264 0.6245 0.6245
Cd3 0.6245 0.6245 0.6245
In1 0.2500 0.2500 0.2500
Ba1 0.0000 0.0000 0.0000
Cd4 0.6245 0.6245 0.1264

Entry 9:
Entry from the Alexandria database: crystalline Dy2Ho5Tm5 at its relaxed geometry (PBE).

## Properties
DFT formation energy: 0.07 eV/atom
energy above the most stable polymorph in this dataset: 50 meV/atom
DFT total energy: -4.466 eV/atom
SG: No. 12

Cell: 5.5315 6.5143 11.7417 Å, 74.36 76.38 64.88°
Positions (direct):
Ho1 0.7036 0.6394 0.9533
Ho2 0.4627 0.8613 0.2133
Dy1 0.0363 0.6410 0.2864
Ho3 0.5373 0.1387 0.7867
Dy2 0.9637 0.3590 0.7136
Ho4 0.2964 0.3606 0.0467
Tm1 0.0000 0.0000 0.0000
Tm2 0.2039 0.1382 0.4539
Tm3 0.7497 0.2494 0.2512
Tm4 0.2503 0.7506 0.7488
Ho5 0.5000 0.5000 0.5000
Tm5 0.7961 0.8618 0.5461